CaZn2GaIr after structural relaxation, computed with GGA-PBE.

abc: 6.2950 6.2950 6.2950
angles: 142.66 142.11 54.25
Sites, in units of the cell vectors:
Ca: 0.0000 0.0000 0.0000
Zn: 0.6122 0.6122 0.0000
Zn: 0.7476 0.2476 0.5000
Ga: 0.3850 0.3850 0.0000
Ir: 0.2518 0.7518 0.5000

Formation energy: -0.333 eV per atom
Energy above the most stable polymorph in this dataset: 0 meV/atom



KCa2Ga after structural relaxation, computed with GGA-PBE.

abc: 3.7653 3.7653 10.7600
angles: 90.00 90.00 90.00
Sites, in units of the cell vectors:
K: 0.0000 0.0000 0.0000
Ca: 0.5000 0.5000 0.3378
Ca: 0.5000 0.5000 0.6622
Ga: 0.0000 0.0000 0.5000

Formation energy: -0.155 eV per atom



K2CaGa after structural relaxation, computed with GGA-PBE.

abc: 8.7220 8.7220 8.7220
angles: 96.96 96.96 139.26
Sites, in units of the cell vectors:
K: 0.0152 0.1250 0.3902
K: 0.3750 0.9848 0.1098
K: 0.7348 0.6250 0.6098
K: 0.8750 0.2652 0.8902
Ca: 0.2500 0.7500 0.5000
Ca: 0.5000 0.5000 0.0000
Ga: 0.0000 0.0000 0.0000
Ga: 0.7500 0.2500 0.5000

Formation energy: 0.196 eV per atom



formation energy of number 1 (CaZn2GaIr)? -0.333 eV per atom